{
  "formula": "TbY2Er6Tm",
  "functional": "PBE-GGA",
  "state": "optimized geometry",
  "e_form_mev_per_atom": 126,
  "volume_a3_per_atom": 31.46,
  "crystal_system": "monoclinic",
  "lattice_angstrom": [[4.5048, -7.4556, 0.0000], [4.5048, 7.4556, 0.0000], [-1.1420, 0.0000, 9.3664]],
  "species": ["Tb", "Tb", "Y", "Y", "Y", "Y", "Er", "Er", "Er", "Er", "Er", "Er", "Er", "Er", "Er", "Er", "Er", "Er", "Tm", "Tm"],
  "frac_coords": [[0.0247, 0.9753, 0.7500], [0.9753, 0.0247, 0.2500], [0.1984, 0.3029, 0.5453], [0.3029, 0.1984, 0.0453], [0.6971, 0.8016, 0.9547], [0.8016, 0.6971, 0.4547], [0.0180, 0.5691, 0.6857], [0.1256, 0.7516, 0.0575], [0.2484, 0.8744, 0.4425], [0.2903, 0.5084, 0.8818], [0.4309, 0.9820, 0.8143], [0.4916, 0.7097, 0.6182], [0.5084, 0.2903, 0.3818], [0.5691, 0.0180, 0.1857], [0.7097, 0.4916, 0.1182], [0.7516, 0.1256, 0.5575], [0.8744, 0.2484, 0.9425], [0.9820, 0.4309, 0.3143], [0.4096, 0.5904, 0.2500], [0.5904, 0.4096, 0.7500]]
}

---

{
  "formula": "Tb2Y6ErTm",
  "functional": "PBE-GGA",
  "state": "optimized geometry",
  "e_form_mev_per_atom": 117,
  "volume_a3_per_atom": 32.23,
  "crystal_system": "monoclinic",
  "lattice_angstrom": [[4.5258, -7.4828, 0.0000], [4.5258, 7.4828, 0.0000], [-1.4997, 0.0000, 9.5184]],
  "species": ["Tb", "Tb", "Tb", "Tb", "Y", "Y", "Y", "Y", "Y", "Y", "Y", "Y", "Y", "Y", "Y", "Y", "Er", "Er", "Tm", "Tm"],
  "frac_coords": [[0.1954, 0.2967, 0.0449], [0.2967, 0.1954, 0.5449], [0.7033, 0.8046, 0.4551], [0.8046, 0.7033, 0.9551], [0.0171, 0.5728, 0.1850], [0.1232, 0.7522, 0.5561], [0.2478, 0.8768, 0.9439], [0.2921, 0.5022, 0.3811], [0.4272, 0.9829, 0.3150], [0.4978, 0.7079, 0.1189], [0.5022, 0.2921, 0.8811], [0.5728, 0.0171, 0.6850], [0.7079, 0.4978, 0.6189], [0.7522, 0.1232, 0.0561], [0.8768, 0.2478, 0.4439], [0.9829, 0.4272, 0.8150], [0.4078, 0.5922, 0.7500], [0.5922, 0.4078, 0.2500], [0.0216, 0.9784, 0.2500], [0.9784, 0.0216, 0.7500]]
}

---

{
  "formula": "Tb2YErTm6",
  "functional": "PBE-GGA",
  "state": "optimized geometry",
  "e_form_mev_per_atom": 118,
  "volume_a3_per_atom": 31.13,
  "crystal_system": "monoclinic",
  "lattice_angstrom": [[4.4571, -7.4528, 0.0000], [4.4571, 7.4528, 0.0000], [-1.2924, 0.0000, 9.3707]],
  "species": ["Tb", "Tb", "Tb", "Tb", "Y", "Y", "Er", "Er", "Tm", "Tm", "Tm", "Tm", "Tm", "Tm", "Tm", "Tm", "Tm", "Tm", "Tm", "Tm"],
  "frac_coords": [[0.1960, 0.3042, 0.0439], [0.3042, 0.1960, 0.5439], [0.6958, 0.8040, 0.4561], [0.8040, 0.6958, 0.9561], [0.0216, 0.9784, 0.2500], [0.9784, 0.0216, 0.7500], [0.4087, 0.5913, 0.7500], [0.5913, 0.4087, 0.2500], [0.0213, 0.5721, 0.1853], [0.1277, 0.7489, 0.5570], [0.2511, 0.8723, 0.9430], [0.2890, 0.5020, 0.3809], [0.4279, 0.9787, 0.3147], [0.4980, 0.7110, 0.1191], [0.5020, 0.2890, 0.8809], [0.5721, 0.0213, 0.6853], [0.7110, 0.4980, 0.6191], [0.7489, 0.1277, 0.0570], [0.8723, 0.2511, 0.4430], [0.9787, 0.4279, 0.8147]]
}

---

{
  "formula": "Tb3YEr6Tm2",
  "functional": "PBE-GGA",
  "state": "optimized geometry",
  "e_form_mev_per_atom": 22,
  "volume_a3_per_atom": 30.87,
  "crystal_system": "monoclinic",
  "lattice_angstrom": [[3.0526, -5.2800, 0.0000], [3.0526, 5.2800, 0.0000], [-2.0269, 0.0000, 11.4927]],
  "species": ["Tb", "Tb", "Tb", "Y", "Er", "Er", "Er", "Er", "Er", "Er", "Tm", "Tm"],
  "frac_coords": [[0.0000, 0.0000, 0.0000], [0.3333, 0.6667, 0.0000], [0.6667, 0.3333, 0.0000], [0.5000, 0.5000, 0.5000], [0.0828, 0.4171, 0.2512], [0.2486, 0.2486, 0.7488], [0.4171, 0.0828, 0.2512], [0.5829, 0.9172, 0.7488], [0.7514, 0.7514, 0.2512], [0.9172, 0.5829, 0.7488], [0.1667, 0.8333, 0.5000], [0.8333, 0.1667, 0.5000]]
}

---

{
  "formula": "Tb2YEr3Tm6",
  "functional": "PBE-GGA",
  "state": "optimized geometry",
  "e_form_mev_per_atom": 25,
  "volume_a3_per_atom": 30.59,
  "crystal_system": "monoclinic",
  "lattice_angstrom": [[3.0435, -5.2637, 0.0000], [3.0435, 5.2637, 0.0000], [-2.0215, 0.0000, 11.4561]],
  "species": ["Tb", "Tb", "Y", "Er", "Er", "Er", "Tm", "Tm", "Tm", "Tm", "Tm", "Tm"],
  "frac_coords": [[0.1666, 0.8334, 0.0000], [0.8334, 0.1666, 0.0000], [0.5000, 0.5000, 0.0000], [0.0000, 0.0000, 0.5000], [0.3334, 0.6666, 0.5000], [0.6666, 0.3334, 0.5000], [0.0818, 0.4158, 0.7483], [0.2504, 0.2504, 0.2517], [0.4158, 0.0818, 0.7483], [0.5842, 0.9182, 0.2517], [0.7496, 0.7496, 0.7483], [0.9182, 0.5842, 0.2517]]
}

---

{
  "formula": "TbY2ErTm",
  "functional": "PBE-GGA",
  "state": "optimized geometry",
  "e_form_mev_per_atom": 391,
  "volume_a3_per_atom": 33.40,
  "crystal_system": "orthorhombic",
  "lattice_angstrom": [[3.1720, -8.2936, 0.0000], [3.1720, 8.2936, 0.0000], [0.0000, 0.0000, 6.3472]],
  "species": ["Tb", "Tb", "Y", "Y", "Y", "Y", "Er", "Er", "Tm", "Tm"],
  "frac_coords": [[0.1581, 0.8419, 0.7500], [0.8419, 0.1581, 0.2500], [0.2499, 0.2499, 0.0000], [0.2499, 0.2499, 0.5000], [0.7501, 0.7501, 0.0000], [0.7501, 0.7501, 0.5000], [0.2492, 0.7508, 0.2500], [0.7508, 0.2492, 0.7500], [0.3434, 0.6566, 0.7500], [0.6566, 0.3434, 0.2500]]
}